Entry 1:
A relaxed PmYTeS crystal. Source: Alexandria via LeMat-Bulk, functional PBE.

Results
Electronic total energy in eV per atom: -6.19

Cell and atoms, written as POSCAR:
```
PmYTeS
1.0
4.014 0.000 0.000
-2.007 3.476 0.000
0.000 0.000 22.832
Pm Y Te S
3 3 3 3
Cartesian
0.000 0.000 0.000
0.000 2.317 15.222
2.007 1.159 7.611
0.000 0.000 3.529
0.000 2.317 18.751
2.007 1.159 11.140
0.000 0.000 13.109
0.000 2.317 5.498
2.007 1.159 20.720
0.000 0.000 17.083
0.000 2.317 9.473
2.007 1.159 1.862
```



Entry 2:
A relaxed Pm2YTe2S2 crystal. Source: Alexandria via LeMat-Bulk, functional PBE.

Results
Electronic total energy in eV per atom: -5.82

Cell and atoms, written as POSCAR:
```
Pm2YTe2S2
1.0
5.059 0.000 0.000
0.000 5.059 0.000
0.000 0.000 15.996
Pm Y Te S
4 2 4 4
Cartesian
0.000 0.000 1.836
0.000 0.000 14.160
2.529 2.529 6.162
2.529 2.529 9.834
0.000 0.000 7.998
2.529 2.529 0.000
0.000 0.000 5.002
0.000 0.000 10.994
2.529 2.529 2.996
2.529 2.529 13.000
0.000 2.529 0.000
0.000 2.529 7.998
2.529 0.000 0.000
2.529 0.000 7.998
```



Entry 3:
A relaxed PmYTeS2 crystal. Source: Alexandria via LeMat-Bulk, functional PBE.

Results
Electronic total energy in eV per atom: -6.14

Cell and atoms, written as POSCAR:
```
PmYTeS2
1.0
4.515 0.000 0.000
0.000 4.515 0.000
0.000 0.000 13.883
Pm Y Te S
2 2 2 4
Cartesian
0.000 0.000 0.000
2.258 2.258 6.942
0.000 0.000 9.887
2.258 2.258 2.945
0.000 0.000 4.993
2.258 2.258 11.935
0.000 2.258 1.546
0.000 2.258 8.488
2.258 0.000 1.546
2.258 0.000 8.488
```